# 1
A plane-wave DFT calculation with PBE was carried out for crystalline Pr2Dy3Er6Tm at its relaxed geometry.

Lattice parameters (Å, degrees): 6.1435 6.1435 11.7357 95.00 95.00 119.97
Fractional coordinates of all 12 atoms:
Pr (0.1667, 0.8333, 0.0000)
Pr (0.8333, 0.1667, 0.0000)
Dy (0.0000, 0.0000, 0.5000)
Dy (0.3336, 0.6664, 0.5000)
Dy (0.6664, 0.3336, 0.5000)
Er (0.0834, 0.4155, 0.7472)
Er (0.2524, 0.2524, 0.2531)
Er (0.4155, 0.0834, 0.7472)
Er (0.5845, 0.9166, 0.2528)
Er (0.7476, 0.7476, 0.7469)
Er (0.9166, 0.5845, 0.2528)
Tm (0.5000, 0.5000, 0.0000)

---

# 2
A plane-wave DFT calculation with PBE was carried out for crystalline Pr2DyEr6Tm at its relaxed geometry.

Lattice parameters (Å, degrees): 8.7198 8.7198 9.6625 94.72 94.72 118.06
Fractional coordinates of all 20 atoms:
Pr (0.1937, 0.2968, 0.0430)
Pr (0.2968, 0.1937, 0.5430)
Pr (0.7032, 0.8063, 0.4570)
Pr (0.8063, 0.7032, 0.9570)
Dy (0.0173, 0.9827, 0.2500)
Dy (0.9827, 0.0173, 0.7500)
Er (0.0215, 0.5759, 0.1879)
Er (0.1250, 0.7424, 0.5576)
Er (0.2576, 0.8750, 0.9424)
Er (0.2933, 0.5045, 0.3817)
Er (0.4241, 0.9785, 0.3121)
Er (0.4955, 0.7067, 0.1183)
Er (0.5045, 0.2933, 0.8817)
Er (0.5759, 0.0215, 0.6879)
Er (0.7067, 0.4955, 0.6183)
Er (0.7424, 0.1250, 0.0576)
Er (0.8750, 0.2576, 0.4424)
Er (0.9785, 0.4241, 0.8121)
Tm (0.4062, 0.5938, 0.7500)
Tm (0.5938, 0.4062, 0.2500)

---

# 3
A plane-wave DFT calculation with PBE was carried out for crystalline Pr3DyErTm at its relaxed geometry.

Lattice parameters (Å, degrees): 8.0939 8.0939 10.2231 90.00 90.00 143.25
Fractional coordinates of all 12 atoms:
Pr (0.1647, 0.8353, 0.5005)
Pr (0.1647, 0.8353, 0.9995)
Pr (0.3339, 0.6661, 0.7500)
Pr (0.6661, 0.3339, 0.2500)
Pr (0.8353, 0.1647, 0.0005)
Pr (0.8353, 0.1647, 0.4995)
Dy (0.5000, 0.5000, 0.0000)
Dy (0.5000, 0.5000, 0.5000)
Er (0.0020, 0.9980, 0.7500)
Er (0.9980, 0.0020, 0.2500)
Tm (0.3356, 0.6644, 0.2500)
Tm (0.6644, 0.3356, 0.7500)

---

# 4
A plane-wave DFT calculation with PBE was carried out for crystalline Pr2DyEr3Tm6 at its relaxed geometry.

Lattice parameters (Å, degrees): 6.1250 6.1250 11.6780 95.01 95.01 119.95
Fractional coordinates of all 12 atoms:
Pr (0.1666, 0.8334, 0.0000)
Pr (0.8334, 0.1666, 0.0000)
Dy (0.5000, 0.5000, 0.0000)
Er (0.0000, 0.0000, 0.5000)
Er (0.3335, 0.6665, 0.5000)
Er (0.6665, 0.3335, 0.5000)
Tm (0.0821, 0.4147, 0.7461)
Tm (0.2529, 0.2529, 0.2541)
Tm (0.4147, 0.0821, 0.7461)
Tm (0.5853, 0.9179, 0.2539)
Tm (0.7471, 0.7471, 0.7459)
Tm (0.9179, 0.5853, 0.2539)

---

# 5
A plane-wave DFT calculation with PBE was carried out for crystalline PrDy2Er5Tm at its relaxed geometry.

Lattice parameters (Å, degrees): 9.6078 9.6078 9.6078 124.55 124.55 82.29
Fractional coordinates of all 18 atoms:
Pr (0.2500, 0.2500, 0.0000)
Pr (0.7500, 0.7500, 0.0000)
Dy (0.1120, 0.6120, 0.7239)
Dy (0.3880, 0.1120, 0.5000)
Dy (0.6120, 0.8880, 0.5000)
Dy (0.8880, 0.3880, 0.2761)
Er (0.0000, 0.0000, 0.0000)
Er (0.0737, 0.1636, 0.5000)
Er (0.1636, 0.6636, 0.0898)
Er (0.3364, 0.4263, 0.5000)
Er (0.4263, 0.9263, 0.0898)
Er (0.5000, 0.5000, 0.0000)
Er (0.5737, 0.0737, 0.9102)
Er (0.6636, 0.5737, 0.5000)
Er (0.8364, 0.3364, 0.9102)
Er (0.9263, 0.8364, 0.5000)
Tm (0.2500, 0.7500, 0.5000)
Tm (0.7500, 0.2500, 0.5000)

---

# 6
A plane-wave DFT calculation with PBE was carried out for crystalline PrDyErTm at its relaxed geometry.

Lattice parameters (Å, degrees): 8.0306 8.0306 8.0306 90.00 90.00 90.00
Fractional coordinates of all 16 atoms:
Pr (0.0000, 0.0000, 0.0000)
Pr (0.0000, 0.5000, 0.5000)
Pr (0.5000, 0.0000, 0.5000)
Pr (0.5000, 0.5000, 0.0000)
Dy (0.0000, 0.0000, 0.5000)
Dy (0.0000, 0.5000, 0.0000)
Dy (0.5000, 0.0000, 0.0000)
Dy (0.5000, 0.5000, 0.5000)
Er (0.2500, 0.2500, 0.7500)
Er (0.2500, 0.7500, 0.2500)
Er (0.7500, 0.2500, 0.2500)
Er (0.7500, 0.7500, 0.7500)
Tm (0.2500, 0.2500, 0.2500)
Tm (0.2500, 0.7500, 0.7500)
Tm (0.7500, 0.2500, 0.7500)
Tm (0.7500, 0.7500, 0.2500)

---

# 7
A plane-wave DFT calculation with PBE was carried out for crystalline PrDyEr4Tm2 at its relaxed geometry.

Lattice parameters (Å, degrees): 9.4480 9.4480 6.7465 110.91 110.91 88.74
Fractional coordinates of all 16 atoms:
Pr (0.0000, 0.5000, 0.0000)
Pr (0.5000, 0.0000, 0.5000)
Dy (0.0000, 0.0000, 0.0000)
Dy (0.0000, 0.0000, 0.5000)
Er (0.2488, 0.2545, 0.5027)
Er (0.2518, 0.7482, 0.5023)
Er (0.2518, 0.7482, 0.9977)
Er (0.2545, 0.2488, 0.0027)
Er (0.7455, 0.7512, 0.9973)
Er (0.7482, 0.2518, 0.0023)
Er (0.7482, 0.2518, 0.4977)
Er (0.7512, 0.7455, 0.4973)
Tm (0.0000, 0.5000, 0.5000)
Tm (0.5000, 0.0000, 0.0000)
Tm (0.5000, 0.5000, 0.0000)
Tm (0.5000, 0.5000, 0.5000)

---

# 8
A plane-wave DFT calculation with PBE was carried out for crystalline Pr2Dy2Er2Tm at its relaxed geometry.

Lattice parameters (Å, degrees): 11.7146 3.5136 11.8318 90.00 109.24 90.00
Fractional coordinates of all 14 atoms:
Pr (0.1709, 0.0000, 0.0858)
Pr (0.3291, 0.5000, 0.9142)
Pr (0.6709, 0.5000, 0.0858)
Pr (0.8291, 0.0000, 0.9142)
Dy (0.0493, 0.0000, 0.7666)
Dy (0.4507, 0.5000, 0.2334)
Dy (0.5493, 0.5000, 0.7666)
Dy (0.9507, 0.0000, 0.2334)
Er (0.2275, 0.5000, 0.3663)
Er (0.2725, 0.0000, 0.6337)
Er (0.7275, 0.0000, 0.3663)
Er (0.7725, 0.5000, 0.6337)
Tm (0.0000, 0.5000, 0.5000)
Tm (0.5000, 0.0000, 0.5000)

---

# 9
A plane-wave DFT calculation with PBE was carried out for crystalline Pr3Dy6ErTm2 at its relaxed geometry.

Lattice parameters (Å, degrees): 6.1938 6.1938 11.8227 95.00 95.00 119.98
Fractional coordinates of all 12 atoms:
Pr (0.0000, 0.0000, 0.0000)
Pr (0.3333, 0.6667, 0.0000)
Pr (0.6667, 0.3333, 0.0000)
Dy (0.0853, 0.4187, 0.2560)
Dy (0.2478, 0.2478, 0.7440)
Dy (0.4187, 0.0853, 0.2560)
Dy (0.5813, 0.9147, 0.7440)
Dy (0.7522, 0.7522, 0.2560)
Dy (0.9147, 0.5813, 0.7440)
Er (0.5000, 0.5000, 0.5000)
Tm (0.1667, 0.8333, 0.5000)
Tm (0.8333, 0.1667, 0.5000)

---

# 10
A plane-wave DFT calculation with PBE was carried out for crystalline PrDyErTm at its relaxed geometry.

Lattice parameters (Å, degrees): 3.4347 5.6135 6.7225 90.00 90.00 90.00
Fractional coordinates of all 4 atoms:
Pr (0.0000, 0.0000, 0.0000)
Dy (0.0000, 0.5000, 0.2566)
Er (0.0000, 0.0000, 0.5170)
Tm (0.5000, 0.5000, 0.7481)

---

# 11
A plane-wave DFT calculation with PBE was carried out for crystalline PrDy2Er6Tm at its relaxed geometry.

Lattice parameters (Å, degrees): 8.7297 8.7297 9.4529 93.49 93.49 117.76
Fractional coordinates of all 20 atoms:
Pr (0.0252, 0.9748, 0.7500)
Pr (0.9748, 0.0252, 0.2500)
Dy (0.1993, 0.3059, 0.5470)
Dy (0.3059, 0.1993, 0.0470)
Dy (0.6941, 0.8007, 0.9530)
Dy (0.8007, 0.6941, 0.4530)
Er (0.0172, 0.5658, 0.6835)
Er (0.1257, 0.7492, 0.0578)
Er (0.2508, 0.8743, 0.4422)
Er (0.2912, 0.5091, 0.8826)
Er (0.4342, 0.9828, 0.8165)
Er (0.4909, 0.7088, 0.6174)
Er (0.5091, 0.2912, 0.3826)
Er (0.5658, 0.0172, 0.1835)
Er (0.7088, 0.4909, 0.1174)
Er (0.7492, 0.1257, 0.5578)
Er (0.8743, 0.2508, 0.9422)
Er (0.9828, 0.4342, 0.3165)
Tm (0.4099, 0.5901, 0.2500)
Tm (0.5901, 0.4099, 0.7500)

---

# 12
A plane-wave DFT calculation with PBE was carried out for crystalline Pr4DyEr2Tm2 at its relaxed geometry.

Lattice parameters (Å, degrees): 8.0573 8.0573 8.0439 107.34 107.34 36.76
Fractional coordinates of all 9 atoms:
Pr (0.0532, 0.0532, 0.3295)
Pr (0.2768, 0.2768, 0.6688)
Pr (0.7232, 0.7232, 0.3312)
Pr (0.9468, 0.9468, 0.6705)
Dy (0.5000, 0.5000, 0.0000)
Er (0.3885, 0.3885, 0.3296)
Er (0.6115, 0.6115, 0.6704)
Tm (0.1679, 0.1679, 0.9996)
Tm (0.8321, 0.8321, 0.0004)

---

# 13
A plane-wave DFT calculation with PBE was carried out for crystalline PrDyEr2Tm4 at its relaxed geometry.

Lattice parameters (Å, degrees): 9.4396 9.4396 6.7421 110.92 110.92 88.83
Fractional coordinates of all 16 atoms:
Pr (0.0000, 0.5000, 0.0000)
Pr (0.5000, 0.0000, 0.5000)
Dy (0.0000, 0.0000, 0.0000)
Dy (0.0000, 0.0000, 0.5000)
Er (0.0000, 0.5000, 0.5000)
Er (0.5000, 0.0000, 0.0000)
Er (0.5000, 0.5000, 0.0000)
Er (0.5000, 0.5000, 0.5000)
Tm (0.2492, 0.2530, 0.5023)
Tm (0.2512, 0.7489, 0.5018)
Tm (0.2511, 0.7488, 0.9982)
Tm (0.2530, 0.2492, 0.0023)
Tm (0.7470, 0.7508, 0.9977)
Tm (0.7489, 0.2512, 0.0018)
Tm (0.7488, 0.2511, 0.4982)
Tm (0.7508, 0.7470, 0.4977)

---

# 14
A plane-wave DFT calculation with PBE was carried out for crystalline Pr6DyEr3Tm2 at its relaxed geometry.

Lattice parameters (Å, degrees): 6.2767 6.2767 11.8085 95.07 95.07 119.99
Fractional coordinates of all 12 atoms:
Pr (0.0836, 0.4173, 0.7499)
Pr (0.2501, 0.2501, 0.2501)
Pr (0.4173, 0.0836, 0.7499)
Pr (0.5827, 0.9164, 0.2501)
Pr (0.7499, 0.7499, 0.7499)
Pr (0.9164, 0.5827, 0.2501)
Dy (0.0000, 0.0000, 0.5000)
Er (0.1667, 0.8333, 0.0000)
Er (0.5000, 0.5000, 0.0000)
Er (0.8333, 0.1667, 0.0000)
Tm (0.3334, 0.6666, 0.5000)
Tm (0.6666, 0.3334, 0.5000)

---

# 15
A plane-wave DFT calculation with PBE was carried out for crystalline Pr6Dy3Er2Tm at its relaxed geometry.

Lattice parameters (Å, degrees): 6.3314 6.3314 11.4666 95.28 95.28 119.99
Fractional coordinates of all 12 atoms:
Pr (0.0836, 0.4167, 0.7512)
Pr (0.2502, 0.2502, 0.2488)
Pr (0.4167, 0.0836, 0.7512)
Pr (0.5833, 0.9164, 0.2488)
Pr (0.7498, 0.7498, 0.7512)
Pr (0.9164, 0.5833, 0.2488)
Dy (0.0000, 0.0000, 0.5000)
Dy (0.3333, 0.6667, 0.5000)
Dy (0.6667, 0.3333, 0.5000)
Er (0.1667, 0.8333, 0.0000)
Er (0.8333, 0.1667, 0.0000)
Tm (0.5000, 0.5000, 0.0000)

---

# 16
A plane-wave DFT calculation with PBE was carried out for crystalline Pr2DyErTm2 at its relaxed geometry.

Lattice parameters (Å, degrees): 7.0133 5.6463 9.7798 90.00 90.00 90.00
Fractional coordinates of all 12 atoms:
Pr (0.0000, 0.0000, 0.0000)
Pr (0.2500, 0.5000, 0.1787)
Pr (0.5000, 0.0000, 0.0000)
Pr (0.7500, 0.5000, 0.8213)
Dy (0.2500, 0.0000, 0.6583)
Dy (0.7500, 0.0000, 0.3417)
Er (0.0000, 0.5000, 0.5000)
Er (0.5000, 0.5000, 0.5000)
Tm (0.2500, 0.0000, 0.3333)
Tm (0.2500, 0.5000, 0.8354)
Tm (0.7500, 0.0000, 0.6667)
Tm (0.7500, 0.5000, 0.1646)

---

# 17
A plane-wave DFT calculation with PBE was carried out for crystalline PrDy2ErTm5 at its relaxed geometry.

Lattice parameters (Å, degrees): 9.5909 9.5909 9.5909 124.72 124.72 82.00
Fractional coordinates of all 18 atoms:
Pr (0.2500, 0.2500, 0.0000)
Pr (0.7500, 0.7500, 0.0000)
Dy (0.1123, 0.6123, 0.7246)
Dy (0.3877, 0.1123, 0.5000)
Dy (0.6123, 0.8877, 0.5000)
Dy (0.8877, 0.3877, 0.2754)
Er (0.2500, 0.7500, 0.5000)
Er (0.7500, 0.2500, 0.5000)
Tm (0.0000, 0.0000, 0.0000)
Tm (0.0738, 0.1632, 0.5000)
Tm (0.1632, 0.6632, 0.0894)
Tm (0.3368, 0.4262, 0.5000)
Tm (0.4262, 0.9262, 0.0894)
Tm (0.5000, 0.5000, 0.0000)
Tm (0.5738, 0.0738, 0.9106)
Tm (0.6632, 0.5738, 0.5000)
Tm (0.8368, 0.3368, 0.9106)
Tm (0.9262, 0.8368, 0.5000)

---

# 18
A plane-wave DFT calculation with PBE was carried out for crystalline PrDy2Er2Tm at its relaxed geometry.

Lattice parameters (Å, degrees): 6.5165 17.6761 3.3943 90.00 90.00 90.00
Fractional coordinates of all 12 atoms:
Pr (0.0000, 0.0000, 0.0000)
Pr (0.5000, 0.5000, 0.5000)
Dy (0.2183, 0.3513, 0.5000)
Dy (0.2817, 0.8513, 0.0000)
Dy (0.7183, 0.1487, 0.0000)
Dy (0.7817, 0.6487, 0.5000)
Er (0.2220, 0.1852, 0.0000)
Er (0.2780, 0.6852, 0.5000)
Er (0.7220, 0.3148, 0.5000)
Er (0.7780, 0.8148, 0.0000)
Tm (0.0000, 0.5000, 0.0000)
Tm (0.5000, 0.0000, 0.5000)

---

# 19
A plane-wave DFT calculation with PBE was carried out for crystalline Pr2Dy2ErTm at its relaxed geometry.

Lattice parameters (Å, degrees): 7.0230 5.6524 9.8092 90.00 90.00 90.00
Fractional coordinates of all 12 atoms:
Pr (0.0000, 0.0000, 0.0000)
Pr (0.2500, 0.5000, 0.1788)
Pr (0.5000, 0.0000, 0.0000)
Pr (0.7500, 0.5000, 0.8212)
Dy (0.2500, 0.0000, 0.3338)
Dy (0.2500, 0.5000, 0.8355)
Dy (0.7500, 0.0000, 0.6662)
Dy (0.7500, 0.5000, 0.1645)
Er (0.2500, 0.0000, 0.6584)
Er (0.7500, 0.0000, 0.3416)
Tm (0.0000, 0.5000, 0.5000)
Tm (0.5000, 0.5000, 0.5000)

---

# 20
A plane-wave DFT calculation with PBE was carried out for crystalline Pr6Dy3ErTm2 at its relaxed geometry.

Lattice parameters (Å, degrees): 6.2876 6.2876 11.8342 95.07 95.07 119.99
Fractional coordinates of all 12 atoms:
Pr (0.0832, 0.4167, 0.7514)
Pr (0.2499, 0.2499, 0.2487)
Pr (0.4167, 0.0832, 0.7514)
Pr (0.5833, 0.9168, 0.2486)
Pr (0.7501, 0.7501, 0.7513)
Pr (0.9168, 0.5833, 0.2486)
Dy (0.0000, 0.0000, 0.5000)
Dy (0.3333, 0.6667, 0.5000)
Dy (0.6667, 0.3333, 0.5000)
Er (0.5000, 0.5000, 0.0000)
Tm (0.1666, 0.8334, 0.0000)
Tm (0.8334, 0.1666, 0.0000)

---

| no. | density of states at the Fermi level (states/eV/atom) | energy relative to the elements (eV/atom) | ρ (g/cm3) |
| --- | --- | --- | --- |
| 1 | 1.27 | 0.02 | 8.53 |
| 2 | 1.31 | 0.12 | 8.39 |
| 3 | 1.48 | 0.02 | 7.64 |
| 4 | 1.36 | 0.03 | 8.71 |
| 5 | 1.26 | 0.29 | 8.45 |
| 6 | 1.63 | 0.11 | 8.20 |
| 7 | 2.14 | 0.44 | 8.34 |
| 8 | 1.59 | 0.09 | 8.02 |
| 9 | 1.37 | 0.02 | 8.17 |
| 10 | 1.98 | 0.19 | 8.19 |
| 11 | 1.43 | 0.12 | 8.60 |
| 12 | 1.51 | 0.03 | 7.83 |
| 13 | 2.17 | 0.45 | 8.39 |
| 14 | 1.02 | 0.01 | 7.74 |
| 15 | 0.92 | 0.02 | 7.79 |
| 16 | 1.52 | 0.07 | 8.14 |
| 17 | 1.21 | 0.29 | 8.56 |
| 18 | 1.59 | 0.28 | 8.23 |
| 19 | 1.50 | 0.07 | 8.04 |
| 20 | 1.05 | 0.01 | 7.65 |